VASP calculation (PBE-GGA) on Gd2GeIr after structural relaxation.

Summary:
As for the formation enthalpy at 0 K: -0.6984 eV per atom. The offset from the most stable computed form comes out at 0 meV/atom. The symmetry is P4/mmm, No. 123. The magnetic moment comes out at 3.4792 μB per atom. As for the density of states at the Fermi level: 2.21 states/eV/cell.

Cell and atoms, written as POSCAR:
```
Gd2GeIr
1.0
3.5710 0.0000 0.0000
0.0000 3.5710 0.0000
0.0000 0.0000 6.9569
Gd Ge Ir
2 1 1
Direct
0.0000 0.0000 0.2363
0.0000 0.0000 0.7637
0.5000 0.5000 0.5000
0.5000 0.5000 0.0000
```